A geometry-optimized CuSi2Br structure. Source: Alexandria via LeMat-Bulk, functional PBE-GGA.

Results
relative energy among the computed polymorphs	0.409	eV per atom
raw formation energy	2.2	eV per formula unit

Cell lengths 5.6299, 5.6299, 5.6299 Å; angles 147.87, 124.72, 65.39 degrees
Fractional positions:
Br1 0.4471 0.4471 0.0000
Cu1 0.2151 0.7151 0.5000
Si1 0.0263 0.0263 0.0000
Si2 0.8116 0.3116 0.5000

A geometry-optimized CuSi2Br structure. Source: Alexandria via LeMat-Bulk, functional PBE-GGA.

Results
relative energy among the computed polymorphs	0.250	eV per atom
raw formation energy	1.6	eV per formula unit

Cell lengths 5.9632, 5.9632, 6.4804 Å; angles 137.23, 137.23, 77.89 degrees
Fractional positions:
Br1 0.4786 0.5214 0.0000
Cu1 0.7130 0.2870 0.5000
Si1 0.0053 0.9947 0.0000
Si2 0.3031 0.6969 0.5000

A geometry-optimized CuSiBr structure. Source: Alexandria via LeMat-Bulk, functional PBE-GGA.

Results
relative energy among the computed polymorphs	0.000	eV per atom
raw formation energy	0.2	eV per formula unit

Cell lengths 6.0357, 6.0357, 6.0357 Å; angles 147.36, 147.36, 46.83 degrees
Fractional positions:
Br1 0.9878 0.9878 0.0000
Cu1 0.2321 0.2321 0.0000
Si1 0.7801 0.7801 0.0000

A geometry-optimized CuSi2Br structure. Source: Alexandria via LeMat-Bulk, functional PBE-GGA.

Results
relative energy among the computed polymorphs	0.231	eV per atom
raw formation energy	1.5	eV per formula unit

Cell lengths 6.1184, 6.1184, 3.5985 Å; angles 106.98, 106.98, 34.20 degrees
Fractional positions:
Br1 0.7500 0.7500 0.7500
Cu1 0.2500 0.2500 0.2500
Si1 0.0264 0.0264 0.0291
Si2 0.4736 0.4736 0.4709

A geometry-optimized CuSi2Br8 structure. Source: Alexandria via LeMat-Bulk, functional PBE-GGA.

Results
raw formation energy	-5.2	eV per formula unit

Cell lengths 6.8920, 8.0909, 8.0909 Å; angles 73.50, 88.91, 88.91 degrees
Fractional positions:
Cu1 0.0000 0.0000 0.0000
Si1 0.3080 0.1915 0.1915
Si2 0.6920 0.8085 0.8085
Br1 0.8238 0.0845 0.7101
Br2 0.1762 0.2899 0.9155
Br3 0.6370 0.1767 0.1767
Br4 0.3630 0.8233 0.8233
Br5 0.8238 0.7101 0.0845
Br6 0.1762 0.9155 0.2899
Br7 0.2065 0.3585 0.3585
Br8 0.7935 0.6415 0.6415

A geometry-optimized CuSiBr3 structure. Source: Alexandria via LeMat-Bulk, functional PBE-GGA.

Results
relative energy among the computed polymorphs	0.000	eV per atom
raw formation energy	1.0	eV per formula unit

Cell lengths 5.1918, 5.1918, 5.1918 Å; angles 90.00, 90.00, 90.00 degrees
Fractional positions:
Si1 0.0000 0.0000 0.0000
Cu1 0.5000 0.5000 0.5000
Br1 0.0000 0.5000 0.0000
Br2 0.0000 0.0000 0.5000
Br3 0.5000 0.0000 0.0000

| no. | total energy (eV for the cell shown) | N(E_F) (states/eV per cell) |
| --- | --- | --- |
| 1 | -14.384 | 1.56 |
| 2 | -15.020 | 1.93 |
| 3 | -10.984 | 0.72 |
| 4 | -15.097 | 1.35 |
| 5 | -33.570 | 3.76 |
| 6 | -13.523 | 0.72 |